Compound: NaSi3Tc
Source: Alexandria via LeMat-Bulk
Functional: PBE-GGA
Structure: relaxed

Cell: 4.7541 4.7541 4.7541 Å, 90.00 90.00 90.00°
Element x y z (fractional)
Na1 0.0000 0.0000 0.0000
Si1 0.0000 0.5000 0.0000
Si2 0.0000 0.0000 0.5000
Si3 0.5000 0.0000 0.0000
Tc1 0.5000 0.5000 0.5000

Calculated volume ... 21.49 Å³ per atom
DFT total energy ... -3.61 eV/atom
Energy relative to the elements, uncorrected ... 1981 meV per atom
Relative energy among the computed polymorphs ... 1.6858 eV/atom

=====

Compound: LiCa2Ge2
Source: Alexandria via LeMat-Bulk
Functional: PBE-GGA
Structure: relaxed

Cell: 4.9192 4.9192 6.9385 Å, 69.24 69.24 90.00°
Element x y z (fractional)
Ge1 0.4001 0.4001 0.1998
Ge2 0.5999 0.5999 0.8002
Ca1 0.7500 0.2500 0.5000
Ca2 0.2500 0.7500 0.5000
Li1 0.0000 0.0000 0.0000

Calculated volume ... 29.06 Å³ per atom
DFT total energy ... -3.18 eV/atom
ΔE_f ... -0.151 eV/atom